Entry 1:
Here is MgZnSO after structural relaxation from OQMD via LeMat-Bulk. Energies are from PBE-GGA.

Summary:
Energy relative to the lowest polymorph listed for this composition = 354 meV/atom
Electronic total energy = -4.22 eV/atom
Density = 3780 kg/m3
Space-group type = P6_3mc (186)

Cell: 3.512 3.512 11.334 Å, 90.00 90.00 120.00°
Atoms (fractional coordinates):
Mg: 0.000 0.000 0.495
Mg: 0.000 0.000 0.995
O: 0.000 0.000 0.325
O: 0.000 0.000 0.825
S: 0.667 0.333 0.105
S: 0.333 0.667 0.605
Zn: 0.333 0.667 0.263
Zn: 0.667 0.333 0.763

***

Entry 2:
Here is Cs2Ag3Te4 after structural relaxation from OQMD via LeMat-Bulk. Energies are from PBE-GGA.

Summary:
Electronic total energy = -2.88 eV/atom
Density = 5591 kg/m3
Space-group type = Fmmm (69)

Cell: 9.704 8.405 6.996 Å, 77.52 57.74 44.74°
Atoms (fractional coordinates):
Ag: 0.000 0.000 0.000
Ag: 0.500 0.500 0.000
Ag: 0.000 0.000 0.500
Cs: 0.650 0.650 0.350
Cs: 0.350 0.350 0.650
Te: 0.292 0.964 0.036
Te: 0.036 0.708 0.292
Te: 0.964 0.292 0.708
Te: 0.708 0.036 0.964